No. 1
# PmSm2ThSc4, relaxed, DFT GGA-PBE
data_PmSm2ThSc4
_chemical_formula_sum 'Pm1 Sm2 Th1 Sc4'
_cell_length_a 5.039
_cell_length_b 5.050
_cell_length_c 10.332
_cell_angle_alpha 60.78
_cell_angle_beta 90.00
_cell_angle_gamma 90.00
_symmetry_space_group_name_H-M 'P 1'
_symmetry_Int_Tables_number 1
_symmetry_space_group_name_Hall 'P 1'
loop_
_atom_site_label
_atom_site_type_symbol
_atom_site_fract_x
_atom_site_fract_y
_atom_site_fract_z
Pm1 Pm 0.500 0.500 0.000
Sm1 Sm 0.000 0.000 0.000
Sm2 Sm 0.500 0.000 0.500
Th1 Th 0.000 0.500 0.500
Sc1 Sc 0.000 0.754 0.746
Sc2 Sc 0.000 0.246 0.254
Sc3 Sc 0.500 0.746 0.254
Sc4 Sc 0.500 0.254 0.746
# Total magnetization in μB per cell: 0.00
# V in Å³ per atom: 28.7
# DFT formation energy in meV/atom: 42.7

No. 2
# PmSmScTl, relaxed, DFT GGA-PBE
data_PmSmScTl
_chemical_formula_sum 'Pm1 Sm1 Sc1 Tl1'
_cell_length_a 4.870
_cell_length_b 4.787
_cell_length_c 4.795
_cell_angle_alpha 90.00
_cell_angle_beta 90.00
_cell_angle_gamma 90.00
_symmetry_space_group_name_H-M 'P 1'
_symmetry_Int_Tables_number 1
_symmetry_space_group_name_Hall 'P 1'
loop_
_atom_site_label
_atom_site_type_symbol
_atom_site_fract_x
_atom_site_fract_y
_atom_site_fract_z
Pm1 Pm 0.500 0.000 0.500
Sm1 Sm 0.500 0.500 0.000
Sc1 Sc 0.000 0.500 0.500
Tl1 Tl 0.000 0.000 0.000
# Total magnetization in μB per cell: 0.00
# Excess energy over the best structure of this formula in the dataset in kJ/mol of formula units: 0.0
# V in Å³ per atom: 27.9
# DFT formation energy in meV/atom: -183.7

No. 3
# PmSm2ScTl2, relaxed, DFT GGA-PBE
data_PmSm2ScTl2
_chemical_formula_sum 'Pm2 Sm4 Sc2 Tl4'
_cell_length_a 5.025
_cell_length_b 7.023
_cell_length_c 9.947
_cell_angle_alpha 90.00
_cell_angle_beta 90.00
_cell_angle_gamma 90.00
_symmetry_space_group_name_H-M 'P 1'
_symmetry_Int_Tables_number 1
_symmetry_space_group_name_Hall 'P 1'
loop_
_atom_site_label
_atom_site_type_symbol
_atom_site_fract_x
_atom_site_fract_y
_atom_site_fract_z
Pm1 Pm 0.000 0.958 0.452
Pm2 Pm 0.000 0.458 0.548
Sm1 Sm 0.500 0.054 0.051
Sm2 Sm 0.000 0.342 0.185
Sm3 Sm 0.500 0.554 0.949
Sm4 Sm 0.000 0.842 0.815
Sc1 Sc 0.500 0.165 0.693
Sc2 Sc 0.500 0.665 0.307
Tl1 Tl 0.000 0.292 0.856
Tl2 Tl 0.500 0.234 0.382
Tl3 Tl 0.000 0.792 0.144
Tl4 Tl 0.500 0.734 0.618
# Total magnetization in μB per cell: 0.00
# V in Å³ per atom: 29.3
# DFT formation energy in meV/atom: -258.8

No. 4
# PmSmScTl, relaxed, DFT GGA-PBE
data_PmSmScTl
_chemical_formula_sum 'Pm1 Sm1 Sc1 Tl1'
_cell_length_a 5.411
_cell_length_b 5.411
_cell_length_c 5.411
_cell_angle_alpha 60.00
_cell_angle_beta 60.00
_cell_angle_gamma 60.00
_symmetry_space_group_name_H-M 'P 1'
_symmetry_Int_Tables_number 1
_symmetry_space_group_name_Hall 'P 1'
loop_
_atom_site_label
_atom_site_type_symbol
_atom_site_fract_x
_atom_site_fract_y
_atom_site_fract_z
Sc1 Sc 0.000 0.000 0.000
Tl1 Tl 0.750 0.750 0.750
Sm1 Sm 0.500 0.500 0.500
Pm1 Pm 0.250 0.250 0.250
# Total magnetization in μB per cell: 1.55
# Excess energy over the best structure of this formula in the dataset in kJ/mol of formula units: 67.4
# V in Å³ per atom: 28.0
# DFT formation energy in meV/atom: -9.2